(1)
Compound: Sm6Ni20As13
Source: Alexandria via LeMat-Bulk
Functional: PBE
Structure: relaxed

Lattice parameters (Å, degrees): 13.186 13.186 3.943 90.00 90.00 120.00
Positions (direct):
1 Sm 0.186 0.469 0.000
2 Sm 0.531 0.717 0.000
3 Sm 0.283 0.814 0.000
4 Sm 0.720 0.188 0.500
5 Sm 0.812 0.532 0.500
6 Sm 0.468 0.280 0.500
7 Ni 0.088 0.198 0.000
8 Ni 0.802 0.890 0.000
9 Ni 0.110 0.912 0.000
10 Ni 0.333 0.667 0.500
11 Ni 0.920 0.065 0.500
12 Ni 0.935 0.856 0.500
13 Ni 0.144 0.080 0.500
14 Ni 0.667 0.333 0.000
15 Ni 0.415 0.437 0.000
16 Ni 0.563 0.978 0.000
17 Ni 0.022 0.585 0.000
18 Ni 0.242 0.312 0.500
19 Ni 0.688 0.930 0.500
20 Ni 0.070 0.758 0.500
21 Ni 0.436 0.023 0.500
22 Ni 0.977 0.413 0.500
23 Ni 0.587 0.564 0.500
24 Ni 0.924 0.245 0.000
25 Ni 0.755 0.679 0.000
26 Ni 0.321 0.076 0.000
27 As 0.385 0.521 0.500
28 As 0.479 0.864 0.500
29 As 0.136 0.615 0.500
30 As 0.043 0.275 0.500
31 As 0.725 0.767 0.500
32 As 0.233 0.957 0.500
33 As 0.524 0.137 0.000
34 As 0.863 0.387 0.000
35 As 0.613 0.476 0.000
36 As 0.768 0.047 0.000
37 As 0.953 0.721 0.000
38 As 0.279 0.232 0.000
39 As 0.000 0.000 0.000

Total energy ... -0.436 Ry/atom
SG ... P-6 (174)
ΔH_f (0 K) ... -15.98 kcal/mol of atoms



(2)
Compound: TaFeP2
Source: Alexandria via LeMat-Bulk
Functional: PBE
Structure: relaxed

Lattice parameters (Å, degrees): 3.017 4.166 4.166 90.00 90.00 90.00
Last column: magnetic moment on the atom in μB.
Positions (direct):
1 Fe 0.500 0.000 0.500  0.08
2 P 0.000 0.000 0.000  0.00
3 P 0.000 0.500 0.500  0.00
4 Ta 0.500 0.500 0.000  -0.01

Total energy ... -0.594 Ry/atom
SG ... P4/mmm (123)
Relative energy among the computed polymorphs ... 225 meV per atom
ΔH_f (0 K) ... -6.83 kcal/mol of atoms



(3)
Compound: PmAlGa2Cu4
Source: Alexandria via LeMat-Bulk
Functional: PBE
Structure: relaxed

Lattice parameters (Å, degrees): 4.184 4.184 8.865 76.35 76.35 60.00
Positions (direct):
1 Pm 0.000 0.000 0.000
2 Al 0.500 0.500 0.500
3 Ga 0.753 0.753 0.741
4 Ga 0.247 0.247 0.259
5 Cu 0.405 0.405 0.784
6 Cu 0.867 0.867 0.399
7 Cu 0.133 0.133 0.601
8 Cu 0.595 0.595 0.216

Total energy ... -0.304 Ry/atom
SG ... R-3m (166)
ΔH_f (0 K) ... -6.15 kcal/mol of atoms



(4)
Compound: Ca2PrBi
Source: Alexandria via LeMat-Bulk
Functional: PBE
Structure: relaxed

Lattice parameters (Å, degrees): 3.717 3.717 12.718 81.60 81.60 60.00
Positions (direct):
1 Pr 0.500 0.500 0.500
2 Ca 0.085 0.085 0.745
3 Ca 0.915 0.915 0.255
4 Bi 0.000 0.000 0.000

Total energy ... -0.235 Ry/atom
SG ... R-3m (166)
Relative energy among the computed polymorphs ... 361 meV per atom
ΔH_f (0 K) ... -0.63 kcal/mol of atoms



The calculation returns the following V values, one per record and in order: 15.22; 13.09; 16.16; 37.50 Å³ per atom.
The calculation returns the following ρ values, one per record and in order: 8.5; 9.5; 7.3; 4.8 Mg/m³.
The calculation returns the following total magnetization values, one per record and in order: 0.0; 0.1; 0.0; 0.0 Bohr magnetons per cell.